Entry from the Alexandria database: a relaxed SrHgOs2 crystal (PBE-GGA).

abc: 2.902 3.778 7.704
angles: 90.00 90.00 90.00
Element x y z (fractional)
Sr 0.000 0.000 0.000
Hg 0.500 0.500 0.692
Os 0.000 0.000 0.429
Os 0.500 0.500 0.304

formation energy	0.392	eV per atom
density of states at the Fermi level	0.893	states/eV/atom
M_tot	0.00	Bohr magnetons per cell